Entry from Alexandria via LeMat-Bulk: a geometry-optimized La2SiW structure (GGA-PBEsol).

Geometry as POSCAR:
```
La2SiW
1.0
3.005 0.000 0.000
-1.503 3.300 0.049
0.000 -0.694 9.406
La W Si
2 1 1
Cartesian
1.503 1.228 7.081
0.000 1.378 2.375
0.000 -0.347 4.703
1.503 0.000 0.000
```

Properties
- raw formation energy (eV per atom) = 0.53
- total magnetic moment (μB/f.u.) = 0.0
- volume (Å³/atom) = 23.34